# 1
{"formula": "SnAu7", "functional": "GGA-PBE", "state": "optimized geometry", "cell": [[2.978, 0.000, 0.000], [0.000, 2.978, 0.000], [0.000, 0.000, 44.159]], "species": ["Au", "Au", "Au", "Au", "Au", "Au", "Au", "Au", "Au", "Au", "Au", "Au", "Au", "Au", "Sn", "Sn"], "frac_coords": [[0.500, 0.500, 0.615], [0.000, 0.000, 0.569], [0.500, 0.500, 0.431], [0.500, 0.500, 0.707], [0.500, 0.500, 0.339], [0.000, 0.000, 0.754], [0.000, 0.000, 0.293], [0.000, 0.000, 0.385], [0.000, 0.000, 0.477], [0.000, 0.000, 0.661], [0.500, 0.500, 0.523], [0.500, 0.500, 0.246], [0.000, 0.000, 0.199], [0.500, 0.500, 0.801], [0.000, 0.000, 0.852], [0.500, 0.500, 0.148]], "de_polymorph_mev_per_atom": 3}

---

# 2
{"formula": "Sn2Au9", "functional": "GGA-PBE", "state": "optimized geometry", "cell": [[3.021, 0.000, 0.000], [-1.511, 2.616, 0.000], [0.000, 0.000, 34.388]], "species": ["Au", "Au", "Au", "Au", "Au", "Au", "Au", "Au", "Au", "Sn", "Sn"], "frac_coords": [[0.333, 0.667, 0.635], [0.333, 0.667, 0.433], [0.000, 0.000, 0.297], [0.667, 0.333, 0.365], [0.333, 0.667, 0.229], [0.000, 0.000, 0.500], [0.667, 0.333, 0.567], [0.667, 0.333, 0.771], [0.000, 0.000, 0.703], [0.333, 0.667, 0.842], [0.667, 0.333, 0.158]]}

---

# 3
{"formula": "Sn2Au", "functional": "GGA-PBE", "state": "optimized geometry", "cell": [[0.000, 4.282, 4.282], [4.282, 0.000, 4.282], [4.282, 4.282, 0.000]], "species": ["Sn", "Sn", "Sn", "Sn", "Au", "Au"], "frac_coords": [[0.625, 0.125, 0.625], [0.625, 0.625, 0.625], [0.125, 0.625, 0.625], [0.625, 0.625, 0.125], [0.000, 0.000, 0.000], [0.250, 0.250, 0.250]]}

---

# 4
{"formula": "SnAu", "functional": "GGA-PBE", "state": "optimized geometry", "cell": [[-1.761, -2.881, -1.056], [-0.339, -1.027, 3.368], [-3.049, 1.778, 0.235]], "species": ["Sn", "Au"], "frac_coords": [[0.500, 0.500, 0.500], [0.000, 0.000, 0.000]]}

---

# 5
{"formula": "Sn2Au", "functional": "GGA-PBE", "state": "optimized geometry", "cell": [[7.001, 0.000, 0.000], [0.000, 7.146, 0.000], [0.000, 0.000, 11.954]], "species": ["Sn", "Sn", "Sn", "Sn", "Sn", "Sn", "Sn", "Sn", "Sn", "Sn", "Sn", "Sn", "Sn", "Sn", "Sn", "Sn", "Au", "Au", "Au", "Au", "Au", "Au", "Au", "Au"], "frac_coords": [[0.646, 0.741, 0.588], [0.871, 0.035, 0.325], [0.646, 0.759, 0.088], [0.871, 0.465, 0.825], [0.629, 0.535, 0.325], [0.129, 0.535, 0.175], [0.371, 0.465, 0.675], [0.354, 0.259, 0.412], [0.129, 0.965, 0.675], [0.146, 0.759, 0.412], [0.146, 0.741, 0.912], [0.854, 0.259, 0.088], [0.354, 0.241, 0.912], [0.629, 0.965, 0.825], [0.371, 0.035, 0.175], [0.854, 0.241, 0.588], [0.486, 0.397, 0.116], [0.514, 0.603, 0.884], [0.514, 0.897, 0.384], [0.486, 0.103, 0.616], [0.986, 0.103, 0.884], [0.014, 0.603, 0.616], [0.014, 0.897, 0.116], [0.986, 0.397, 0.384]]}

---

# 6
{"formula": "SnAu", "functional": "GGA-PBE", "state": "optimized geometry", "cell": [[0.000, 3.118, 3.118], [3.118, 0.000, 3.118], [3.118, 3.118, 0.000]], "species": ["Sn", "Au"], "frac_coords": [[0.250, 0.250, 0.250], [0.000, 0.000, 0.000]]}

---

# 7
{"formula": "SnAu7", "functional": "GGA-PBE", "state": "optimized geometry", "cell": [[2.935, 0.000, 0.000], [0.000, 4.016, 0.000], [0.000, 0.000, 35.026]], "species": ["Sn", "Sn", "Au", "Au", "Au", "Au", "Au", "Au", "Au", "Au", "Au", "Au", "Au", "Au", "Au", "Au"], "frac_coords": [[0.000, 0.000, 0.168], [0.500, 0.500, 0.832], [0.000, 0.000, 0.434], [0.500, 0.500, 0.478], [0.000, 0.000, 0.787], [0.000, 0.000, 0.259], [0.500, 0.500, 0.653], [0.000, 0.000, 0.609], [0.500, 0.500, 0.391], [0.500, 0.500, 0.741], [0.500, 0.500, 0.303], [0.500, 0.500, 0.213], [0.000, 0.000, 0.697], [0.000, 0.000, 0.347], [0.000, 0.000, 0.522], [0.500, 0.500, 0.566]], "de_polymorph_mev_per_atom": 0}

---

# 8
{"formula": "SnAu10", "functional": "GGA-PBE", "state": "optimized geometry", "cell": [[-3.565, 1.770, 3.058], [-4.479, -1.863, 1.288], [14.990, -16.942, 27.039]], "species": ["Au", "Au", "Au", "Au", "Au", "Au", "Au", "Au", "Au", "Au", "Au", "Au", "Au", "Au", "Au", "Au", "Au", "Au", "Au", "Au", "Sn", "Sn"], "frac_coords": [[0.649, 0.649, 0.354], [0.247, 0.247, 0.300], [0.449, 0.449, 0.460], [0.545, 0.545, 0.271], [0.850, 0.850, 0.513], [0.551, 0.551, 0.540], [0.051, 0.051, 0.674], [0.349, 0.349, 0.380], [0.150, 0.150, 0.487], [0.149, 0.149, 0.758], [0.455, 0.455, 0.729], [0.651, 0.651, 0.620], [0.351, 0.351, 0.646], [0.750, 0.750, 0.433], [0.753, 0.753, 0.700], [0.250, 0.250, 0.567], [0.049, 0.049, 0.407], [0.951, 0.951, 0.593], [0.851, 0.851, 0.242], [0.949, 0.949, 0.326], [0.845, 0.845, 0.782], [0.155, 0.155, 0.218]]}

---

no.,energy (eV per atom),calculated volume (Å³/cell)
1,-3.346,392
2,-3.348,272
3,-3.365,157
4,-3.684,44
5,-3.889,598
6,-3.539,61
7,-3.349,413
8,-3.322,668